## TbDyTm2Se4 (PBE-GGA)

Data for a relaxed structure of TbDyTm2Se4.

Cell and atoms, written as extended XYZ:
```
8
Lattice="3.9933 0.0000 0.0000 0.0000 7.1200 -0.2094 0.0000 2.4384 6.5383" Properties=species:S:1:pos:R:3 pbc="T T T"
Tb 1.9967 5.9985 6.4337
Dy 0.0000 4.7792 3.1645
Tm 0.0000 2.4384 6.5383
Tm 1.9967 1.2192 3.2692
Se 0.0001 7.2130 4.7235
Se 3.9933 2.3454 1.6055
Se 1.9967 5.9938 1.4668
Se 1.9967 3.5647 4.8622
```

**Symmetry**: P2/m
**Total energy**: -0.4207 Ry/atom
**Crystal system**: monoclinic


## Sr2CaSmSe4 (PBE-GGA)

Data for a relaxed structure of Sr2CaSmSe4.

Cell and atoms, written as extended XYZ:
```
8
Lattice="4.2926 0.0000 0.0000 0.0000 7.4543 0.1330 0.0000 -2.6029 7.0306" Properties=species:S:1:pos:R:3 pbc="T T T"
Sr 2.1463 -1.3015 3.5153
Sr 0.0000 2.4257 3.5818
Ca 0.0000 0.0000 0.0000
Sm 2.1463 3.7271 0.0665
Se 2.1463 1.2247 1.6869
Se 2.1463 3.6266 5.4767
Se 0.0000 -0.0850 5.4072
Se 0.0000 4.9364 1.7563
```

**Symmetry**: P2/m
**Total energy**: -0.3654 Ry/atom
**Crystal system**: monoclinic


## Cs2TlBr5 (PBE-GGA)

Data for a relaxed structure of Cs2TlBr5.

Cell and atoms, written as extended XYZ:
```
8
Lattice="-0.0236 -4.5964 -6.3321 5.7456 5.3042 0.2780 1.5049 -3.6198 6.7716" Properties=species:S:1:pos:R:3 pbc="T T T"
Cs 2.4723 -3.7058 1.9035
Cs 4.5927 0.7562 -1.3433
Tl 0.2447 0.0568 0.2379
Br 5.4368 -1.2355 1.8526
Br 4.6306 3.2360 1.6134
Br 2.3227 -1.6206 5.1474
Br 1.4930 -1.7456 -1.4239
Br 2.1216 0.4929 2.0628
```

**Symmetry**: I4mm
**Total energy**: -0.2009 Ry/atom
**Crystal system**: tetragonal


## RbP2RuN (PBE-GGA)

Data for a relaxed structure of RbP2RuN.

Cell and atoms, written as extended XYZ:
```
5
Lattice="4.4259 0.0000 0.0000 0.0000 7.2592 0.0000 0.0000 0.0000 4.4259" Properties=species:S:1:pos:R:3 pbc="T T T"
Ru 0.0000 0.0000 0.0000
N 2.2130 3.6296 2.2130
Rb 0.0000 3.6296 0.0000
P 0.0000 0.0000 2.2130
P 2.2130 0.0000 0.0000
```

**Symmetry**: P4/mmm
**Total energy**: -0.3608 Ry/atom
**Crystal system**: tetragonal


Which of these has the lowest total energy? TbDyTm2Se4


What did the first record say?
## TbDyTm2Se4 (PBE-GGA)

Data for a relaxed structure of TbDyTm2Se4.

Cell and atoms, written as extended XYZ:
```
8
Lattice="3.9933 0.0000 0.0000 0.0000 7.1200 -0.2094 0.0000 2.4384 6.5383" Properties=species:S:1:pos:R:3 pbc="T T T"
Tb 1.9967 5.9985 6.4337
Dy 0.0000 4.7792 3.1645
Tm 0.0000 2.4384 6.5383
Tm 1.9967 1.2192 3.2692
Se 0.0001 7.2130 4.7235
Se 3.9933 2.3454 1.6055
Se 1.9967 5.9938 1.4668
Se 1.9967 3.5647 4.8622
```

**Symmetry**: P2/m
**Total energy**: -0.4207 Ry/atom
**Crystal system**: monoclinic